[1]
## LaTb2PaN4 (PBE)

Data for crystalline LaTb2PaN4 at its relaxed geometry.

The structure belongs to space group P2/m (No. 10); the cell edges are 6.108, 3.562 and 6.202 Å and the angles 90.00°, 109.26° and 90.00°. Symmetry generates all atoms from La at (0.000, 0.000, 0.000), Tb at (0.500, 0.000, 0.500), Tb at (0.500, 0.500, 0.000), Pa at (0.000, 0.500, 0.500), N at (0.244, 0.000, 0.730) and N at (0.247, 0.500, 0.278).

As for the formation energy without anion corrections: -1574 meV/atom. For the density of states at the Fermi level, the calculation gives 0.446 states/eV per atom. The value obtained for the energy is -8.697 eV/atom. The value obtained for the density is 9.7 g cm⁻³. The spin magnetization is 0.0 Bohr magnetons per cell.



[2]
## ZnCrI3 (PBE)

Data for crystalline ZnCrI3 at its relaxed geometry.

The structure belongs to space group Pm-3m (No. 221); the cell edges are 5.558, 5.558 and 5.558 Å and the angles 90.00°, 90.00° and 90.00°. Symmetry generates all atoms from Zn at (0.000, 0.000, 0.000), Cr at (0.500, 0.500, 0.500) and I at (0.000, 0.500, 0.500).

As for the formation energy without anion corrections: 70 meV/atom. For the density of states at the Fermi level, the calculation gives 0.542 states/eV per atom. The value obtained for the energy is -3.040 eV/atom. The value obtained for the density is 4.8 g cm⁻³. Its energy above the lowest structure with this stoichiometry is 0.0 meV per atom. The spin magnetization is 3.0 Bohr magnetons per cell.



Question: Which of these has the lowest spin magnetization?
Answer: LaTb2PaN4